Computed, not measured: a geometry-optimized ZnCuIrPb structure at the PBE level of DFT.

The structure in extended XYZ format:
```
4
Lattice="0.000 3.225 3.225 3.225 0.000 3.225 3.225 3.225 0.000" Properties=species:S:1:pos:R:3 pbc="T T T"
Zn 0.000 0.000 0.000
Cu 3.225 3.225 3.225
Ir 4.837 4.837 4.837
Pb 1.612 1.612 1.612
```

volume = 67.1 Å³/f.u.

=====

Computed, not measured: a geometry-optimized TbHoBrNCl2 structure at the PBE level of DFT.

The structure in extended XYZ format:
```
12
Lattice="8.406 -1.920 0.000 8.406 1.920 0.000 -5.806 0.000 9.167" Properties=species:S:1:pos:R:3 pbc="T T T"
Tb 0.600 0.000 2.686
Tb 10.407 0.000 6.481
Ho 6.793 0.000 0.383
Ho 4.213 0.000 8.784
Br -3.463 0.000 6.758
Br 14.469 0.000 2.409
N 2.262 0.000 7.732
N 8.744 0.000 1.435
Cl 2.941 0.000 1.034
Cl 2.737 0.000 4.451
Cl 8.269 0.000 4.716
Cl 8.066 0.000 8.133
```

volume = 148.0 Å³/f.u.

=====

Computed values of total DFT energy (no corrections) (unit: eV/atom) for the preceding records, in sequence: -4.03; -5.85.
Computed values of spin magnetization (unit: μB per formula unit) for the preceding records, in sequence: 0.002; 0.002.